# 1
# BaSm4 PBE relaxed
data_BaSm4
_symmetry_space_group_name_H-M 'P 1'
_symmetry_Int_Tables_number 1
_symmetry_space_group_name_Hall 'P 1'
_cell_length_a 5.821
_cell_length_b 5.821
_cell_length_c 5.821
_cell_angle_alpha 90.00
_cell_angle_beta 90.00
_cell_angle_gamma 90.00
loop_
_atom_site_label
_atom_site_type_symbol
_atom_site_fract_x
_atom_site_fract_y
_atom_site_fract_z
_atom_site_occupancy
Ba1 Ba 0.000 0.000 0.000 1
Sm1 Sm 0.000 0.000 0.500 1
Sm2 Sm 0.000 0.500 0.000 1
Sm3 Sm 0.500 0.000 0.000 1
Sm4 Sm 0.500 0.500 0.500 1
# Space group: Pm-3m

# 2
# SmFe5B2 PBE relaxed
data_SmFe5B2
_symmetry_space_group_name_H-M 'P 1'
_symmetry_Int_Tables_number 1
_symmetry_space_group_name_Hall 'P 1'
_cell_length_a 5.743
_cell_length_b 5.743
_cell_length_c 5.743
_cell_angle_alpha 146.97
_cell_angle_beta 109.73
_cell_angle_gamma 79.86
loop_
_atom_site_label
_atom_site_type_symbol
_atom_site_fract_x
_atom_site_fract_y
_atom_site_fract_z
_atom_site_occupancy
Sm1 Sm 0.000 0.000 0.000 1
Fe1 Fe 0.154 0.338 0.815 1
Fe2 Fe 0.477 0.662 0.815 1
Fe3 Fe 0.500 0.000 0.500 1
Fe4 Fe 0.523 0.338 0.185 1
Fe5 Fe 0.846 0.662 0.185 1
B1 B 0.258 0.758 0.500 1
B2 B 0.742 0.242 0.500 1
# Space group: Immm

Ordered energy of formation results: 4.262 -1.832; unit eV/f.u..